No. 1
Here is a relaxed Na3Mn2S4 crystal from the Alexandria database. Energies are from PBE.

The structure belongs to space group C2/c (No. 15); the cell edges are 12.434, 9.799 and 6.458 Å and the angles 90.00°, 91.82° and 90.00°. The asymmetric unit holds Na at (0.000, 0.108, 0.250), Na at (0.117, 0.369, 0.958), Mn at (0.203, 0.123, 0.597), S at (0.117, 0.328, 0.491) and S at (0.155, 0.084, 0.936).

The value obtained for the total energy is -186.1 eV for the cell shown. The total magnetization comes out at 36.00 μB per cell.

No. 2
Here is a relaxed La6In2FeCu crystal from the Alexandria database. Energies are from PBE.

The structure belongs to space group P1 (No. 1); the cell edges are 7.450, 7.554 and 7.566 Å and the angles 60.85°, 63.47° and 89.94°. The asymmetric unit holds La at (0.000, 0.000, 0.000), La at (0.055, 0.550, 0.464), La at (0.145, 0.566, 0.920), La at (0.467, 0.091, 0.017), La at (0.540, 0.126, 0.467), La at (0.613, 0.671, 0.925), In at (0.043, 0.078, 0.464), In at (0.559, 0.599, 0.461), Fe at (0.295, 0.855, 0.969) and Cu at (0.804, 0.333, 0.967).

The value obtained for the formation energy from the elements is -0.157 eV per atom. The value obtained for the total energy is -49.2 eV for the cell shown. The total magnetization comes out at 0.00 μB per cell.

No. 3
Here is a relaxed Zr2NiPt crystal from the Alexandria database. Energies are from PBE.

The structure belongs to space group Cm (No. 8); the cell edges are 9.498, 3.312 and 4.718 Å and the angles 90.00°, 102.89° and 90.00°. The asymmetric unit holds Zr at (0.000, 0.000, 0.000), Zr at (0.227, 0.000, 0.651), Ni at (0.242, 0.500, 0.175) and Pt at (0.479, 0.000, 0.460).

The value obtained for the formation energy from the elements is -0.540 eV per atom. The value obtained for the total energy is -62.2 eV for the cell shown. The total magnetization comes out at 0.00 μB per cell.

No. 4
Here is a relaxed UHSeS crystal from the Alexandria database. Energies are from PBE.

The structure belongs to space group Cm (No. 8); the cell edges are 6.556, 3.785 and 7.148 Å and the angles 90.00°, 107.87° and 90.00°. The asymmetric unit holds U at (0.000, 0.000, 0.000), H at (0.164, 0.500, 0.992), Se at (0.245, 0.000, 0.735) and S at (0.411, 0.000, 0.231).

The value obtained for the total energy is -52.1 eV for the cell shown. The total magnetization comes out at 2.00 μB per cell.